This record from Alexandria describes TaNbNF2 at its PBEsol-relaxed geometry. The functional is meta-GGA SCAN.

Output
The density of states at the Fermi level is 2.4 states/eV per cell.

Unit cell a=4.0650 b=4.0650 c=4.0955 alpha=90.00 beta=90.00 gamma=90.00
Closest atoms and distances in Å follow each position.
Sites, in units of the cell vectors:
Ta (0.0000, 0.0000, 0.0000)  4 F 2.03, 2 N 2.05
Nb (0.5000, 0.5000, 0.5000)  4 N 2.87, 8 F 2.89
N (0.0000, 0.0000, 0.5000)  2 Ta 2.05
F (0.0000, 0.5000, 0.0000)  2 Ta 2.03
F (0.5000, 0.0000, 0.0000)  2 Ta 2.03

=====

This record from Alexandria describes CrO2 at its PBEsol-relaxed geometry. The functional is meta-GGA SCAN.

Output
The density of states at the Fermi level is 3.3 states/eV per cell.

Unit cell a=9.0659 b=2.8774 c=4.6978 alpha=90.00 beta=90.00 gamma=90.00
Closest atoms and distances in Å follow each position.
Sites, in units of the cell vectors:
Cr (0.1391, 0.2500, 0.0419)  6 O 1.84-1.92
Cr (0.3609, 0.7500, 0.5419)  6 O 1.84-1.92
Cr (0.6391, 0.2500, 0.4581)  6 O 1.84-1.92
Cr (0.8609, 0.7500, 0.9581)  6 O 1.84-1.92
O (0.0310, 0.7500, 0.2019)  3 Cr 1.90-1.92
O (0.2283, 0.7500, 0.8387)  3 Cr 1.84-1.91
O (0.2717, 0.2500, 0.3387)  3 Cr 1.84-1.91
O (0.4690, 0.2500, 0.7019)  3 Cr 1.90-1.92
O (0.5310, 0.7500, 0.2981)  3 Cr 1.90-1.92
O (0.7283, 0.7500, 0.6613)  3 Cr 1.84-1.91
O (0.7717, 0.2500, 0.1613)  3 Cr 1.84-1.91
O (0.9690, 0.2500, 0.7981)  3 Cr 1.90-1.92

=====

This record from Alexandria describes Tc2MoPb at its PBEsol-relaxed geometry. The functional is meta-GGA SCAN.

Output
The formation energy comes out at 2.85 eV/f.u. The density of states at the Fermi level is 3.0 states/eV per cell.

Unit cell a=3.1844 b=4.2899 c=4.7812 alpha=90.00 beta=90.00 gamma=90.00
Closest atoms and distances in Å follow each position.
Sites, in units of the cell vectors:
Tc (0.0000, 0.0000, 0.0000)  4 Pb 2.67, 4 Tc 2.87
Tc (0.5000, 0.0000, 0.5000)  4 Mo 2.67, 4 Tc 2.87
Mo (0.0000, 0.5000, 0.5000)  4 Tc 2.67, 4 Pb 2.87
Pb (0.5000, 0.5000, 0.0000)  4 Tc 2.67, 4 Mo 2.87

=====

This record from Alexandria describes SrCd2Te at its PBEsol-relaxed geometry. The functional is meta-GGA SCAN.

Output
The density of states at the Fermi level is 1.2 states/eV per cell.

Unit cell a=4.0868 b=4.0868 c=6.9052 alpha=90.00 beta=90.00 gamma=90.00
Closest atoms and distances in Å follow each position.
Sites, in units of the cell vectors:
Sr (0.0000, 0.0000, 0.0000)  4 Te 3.26, 2 Cd 3.29-3.62
Cd (0.0000, 0.0000, 0.5239)  4 Cd 3.04, 1 Sr 3.29
Cd (0.5000, 0.5000, 0.6597)  4 Cd 3.04, 1 Te 3.06
Te (0.5000, 0.5000, 0.2173)  1 Cd 3.06, 4 Sr 3.26

=====

This record from Alexandria describes NiHgSb2 at its PBEsol-relaxed geometry. The functional is meta-GGA SCAN.

Output
The density of states at the Fermi level is 2.3 states/eV per cell.

Unit cell a=5.1425 b=5.1425 c=5.1425 alpha=127.53 beta=127.53 gamma=77.39
Closest atoms and distances in Å follow each position.
Sites, in units of the cell vectors:
Ni (0.0000, 0.0000, 0.0000)  8 Sb 3.03, 4 Hg 3.21
Hg (0.5000, 0.5000, 0.0000)  8 Sb 3.03, 4 Ni 3.21
Sb (0.2500, 0.7500, 0.5000)  4 Hg 3.03, 4 Ni 3.03, 4 Sb 3.21
Sb (0.7500, 0.2500, 0.5000)  4 Hg 3.03, 4 Ni 3.03, 4 Sb 3.21

=====

This record from Alexandria describes FePt2Au at its PBEsol-relaxed geometry. The functional is meta-GGA SCAN.

Output
The formation energy comes out at -0.85 eV/f.u. The offset from the most stable computed form is 20 meV/atom. The density of states at the Fermi level is 1.7 states/eV per cell.

Unit cell a=4.7380 b=4.7380 c=4.7380 alpha=131.13 beta=131.13 gamma=71.61
Closest atoms and distances in Å follow each position.
Sites, in units of the cell vectors:
Fe (0.0000, 0.0000, 0.0000)  8 Pt 2.74, 4 Au 2.77
Pt (0.2500, 0.7500, 0.5000)  4 Au 2.74, 4 Fe 2.74, 4 Pt 2.77
Pt (0.7500, 0.2500, 0.5000)  4 Au 2.74, 4 Fe 2.74, 4 Pt 2.77
Au (0.5000, 0.5000, 0.0000)  8 Pt 2.74, 4 Fe 2.77

=====

This record from Alexandria describes Zn2FeNi at its PBEsol-relaxed geometry. The functional is meta-GGA SCAN.

Output
The formation energy comes out at -0.27 eV/f.u. The density of states at the Fermi level is 1.8 states/eV per cell.

Unit cell a=4.3722 b=4.3722 c=4.3722 alpha=130.15 beta=130.15 gamma=73.16
Closest atoms and distances in Å follow each position.
Sites, in units of the cell vectors:
Zn (0.0000, 0.0000, 0.0000)  4 Zn 2.54, 4 Ni 2.54, 4 Fe 2.61
Zn (0.7500, 0.2500, 0.5000)  4 Fe 2.54, 4 Zn 2.54, 4 Ni 2.61
Fe (0.5000, 0.5000, 0.0000)  4 Ni 2.54, 8 Zn 2.54-2.61
Ni (0.2500, 0.7500, 0.5000)  4 Fe 2.54, 8 Zn 2.54-2.61

=====

This record from Alexandria describes Cs3NaPb4 at its PBEsol-relaxed geometry. The functional is meta-GGA SCAN.

Output
The formation energy comes out at -3.42 eV/f.u.

Unit cell a=9.3516 b=9.3516 c=10.9639 alpha=90.00 beta=90.00 gamma=135.33
Closest atoms and distances in Å follow each position.
Sites, in units of the cell vectors:
Cs (0.1118, 0.8882, 0.5577)  7 Pb 3.76-4.15, 1 Cs 4.07, 2 Na 4.10
Cs (0.1118, 0.8882, 0.9423)  7 Pb 3.76-4.15, 1 Cs 4.07, 2 Na 4.10
Cs (0.2652, 0.7348, 0.2500)  8 Pb 4.10-4.20, 2 Cs 4.29
Cs (0.7348, 0.2652, 0.7500)  8 Pb 4.10-4.20, 2 Cs 4.29
Cs (0.8882, 0.1118, 0.0577)  7 Pb 3.76-4.15, 1 Cs 4.07, 2 Na 4.10
Cs (0.8882, 0.1118, 0.4423)  7 Pb 3.76-4.15, 1 Cs 4.07, 2 Na 4.10
Na (0.5000, 0.5000, 0.0000)  6 Pb 3.25-3.30
Na (0.5000, 0.5000, 0.5000)  6 Pb 3.25-3.30
Pb (0.2203, 0.3191, 0.7500)  3 Pb 3.10-3.27, 2 Na 3.30
Pb (0.3191, 0.2203, 0.2500)  3 Pb 3.10-3.27, 2 Na 3.30
Pb (0.3263, 0.6737, 0.6117)  3 Pb 3.03-3.10, 1 Na 3.25
Pb (0.3263, 0.6737, 0.8883)  3 Pb 3.03-3.10, 1 Na 3.25
Pb (0.6737, 0.3263, 0.1117)  3 Pb 3.03-3.10, 1 Na 3.25
Pb (0.6737, 0.3263, 0.3883)  3 Pb 3.03-3.10, 1 Na 3.25
Pb (0.6809, 0.7797, 0.7500)  3 Pb 3.10-3.27, 2 Na 3.30
Pb (0.7797, 0.6809, 0.2500)  3 Pb 3.10-3.27, 2 Na 3.30

=====

This record from Alexandria describes RbAgMo3 at its PBEsol-relaxed geometry. The functional is meta-GGA SCAN.

Output
The formation energy comes out at 17.06 eV/f.u. The density of states at the Fermi level is 3.3 states/eV per cell.

Unit cell a=4.5848 b=4.5848 c=4.5848 alpha=90.00 beta=90.00 gamma=90.00
Closest atoms and distances in Å follow each position.
Sites, in units of the cell vectors:
Rb (0.0000, 0.0000, 0.0000)  6 Mo 2.29
Ag (0.5000, 0.5000, 0.5000)  12 Mo 3.24
Mo (0.0000, 0.0000, 0.5000)  2 Rb 2.29
Mo (0.0000, 0.5000, 0.0000)  2 Rb 2.29
Mo (0.5000, 0.0000, 0.0000)  2 Rb 2.29

=====

This record from Alexandria describes Li3Zn at its PBEsol-relaxed geometry. The functional is meta-GGA SCAN.

Output
The formation energy comes out at -0.42 eV/f.u. The density of states at the Fermi level is 5.5 states/eV per cell.

Unit cell a=5.6482 b=5.6482 c=9.2788 alpha=90.00 beta=90.00 gamma=120.00
Closest atoms and distances in Å follow each position.
Sites, in units of the cell vectors:
Li (0.0000, 0.5000, 0.0000)  8 Li 2.82-2.85, 4 Zn 2.82-2.84
Li (0.0000, 0.5000, 0.5000)  8 Li 2.82-2.85, 4 Zn 2.82-2.84
Li (0.1601, 0.3202, 0.2500)  8 Li 2.71-2.94, 4 Zn 2.80-2.82
Li (0.1601, 0.8399, 0.2500)  8 Li 2.71-2.94, 4 Zn 2.80-2.82
Li (0.3202, 0.1601, 0.7500)  8 Li 2.71-2.94, 4 Zn 2.80-2.82
Li (0.5000, 0.0000, 0.0000)  8 Li 2.82-2.85, 4 Zn 2.82-2.84
Li (0.5000, 0.0000, 0.5000)  8 Li 2.82-2.85, 4 Zn 2.82-2.84
Li (0.5000, 0.5000, 0.0000)  8 Li 2.82-2.85, 4 Zn 2.82-2.84
Li (0.5000, 0.5000, 0.5000)  8 Li 2.82-2.85, 4 Zn 2.82-2.84
Li (0.6798, 0.8399, 0.2500)  8 Li 2.71-2.94, 4 Zn 2.80-2.82
Li (0.8399, 0.1601, 0.7500)  8 Li 2.71-2.94, 4 Zn 2.80-2.82
Li (0.8399, 0.6798, 0.7500)  8 Li 2.71-2.94, 4 Zn 2.80-2.82
Zn (0.0000, 0.0000, 0.0000)  12 Li 2.80-2.82
Zn (0.0000, 0.0000, 0.5000)  12 Li 2.80-2.82
Zn (0.3333, 0.6667, 0.7500)  12 Li 2.82-2.84
Zn (0.6667, 0.3333, 0.2500)  12 Li 2.82-2.84

=====

This record from Alexandria describes Ag6Au7 at its PBEsol-relaxed geometry. The functional is meta-GGA SCAN.

Output
The formation energy comes out at -0.03 eV/f.u. The density of states at the Fermi level is 2.8 states/eV per cell.

Unit cell a=9.7038 b=9.7038 c=9.7038 alpha=32.32 beta=32.32 gamma=32.32
Closest atoms and distances in Å follow each position.
Sites, in units of the cell vectors:
Ag (0.0495, 0.0495, 0.0495)  2 Ag 2.73-2.90, 6 Au 2.88
Ag (0.1546, 0.1546, 0.1546)  4 Ag 2.90-3.19, 6 Au 2.99-3.14
Ag (0.3333, 0.3333, 0.3333)  6 Au 2.83-2.84, 3 Ag 3.12
Ag (0.6667, 0.6667, 0.6667)  6 Au 2.83-2.84, 3 Ag 3.12
Ag (0.8454, 0.8454, 0.8454)  4 Ag 2.90-3.19, 6 Au 2.99-3.14
Ag (0.9505, 0.9505, 0.9505)  2 Ag 2.73-2.90, 6 Au 2.88
Au (0.0829, 0.5874, 0.5874)  5 Au 2.68-2.73, 5 Ag 2.83-2.99
Au (0.4126, 0.4126, 0.9171)  5 Au 2.68-2.73, 5 Ag 2.83-2.99
Au (0.4126, 0.9171, 0.4126)  5 Au 2.68-2.73, 5 Ag 2.83-2.99
Au (0.5000, 0.5000, 0.5000)  6 Au 2.73
Au (0.5874, 0.0829, 0.5874)  5 Au 2.68-2.73, 5 Ag 2.83-2.99
Au (0.5874, 0.5874, 0.0829)  5 Au 2.68-2.73, 5 Ag 2.83-2.99
Au (0.9171, 0.4126, 0.4126)  5 Au 2.68-2.73, 5 Ag 2.83-2.99

=====

This record from Alexandria describes AlOs3 at its PBEsol-relaxed geometry. The functional is meta-GGA SCAN.

Output
The formation energy comes out at 0.43 eV/f.u. The density of states at the Fermi level is 1.8 states/eV per cell.

Unit cell a=4.2936 b=4.2936 c=4.2936 alpha=60.00 beta=60.00 gamma=60.00
Closest atoms and distances in Å follow each position.
Sites, in units of the cell vectors:
Al (0.0000, 0.0000, 0.0000)  8 Os 2.63
Os (0.2500, 0.2500, 0.2500)  4 Os 2.63, 4 Al 2.63
Os (0.5000, 0.5000, 0.5000)  8 Os 2.63
Os (0.7500, 0.7500, 0.7500)  4 Os 2.63, 4 Al 2.63

=====

no.,DFT total energy (eV per atom),V (Å³/cell)
1,-24.00,67.67
2,-12.48,122.55
3,-44.49,65.32
4,-30.69,115.33
5,-39.26,82.97
6,-57.13,59.05
7,-15.40,47.67
8,-53.02,674.08
9,-27.94,96.37
10,-5.27,256.36
11,-51.72,232.17
12,-55.74,55.97